[1]
{"formula": "BeB2Mo", "functional": "PBE", "state": "optimized geometry", "lattice_angstrom": [[5.218, 0.000, 0.000], [0.000, 3.140, 0.000], [0.000, 0.000, 8.370]], "species": ["Be", "Be", "Be", "Be", "B", "B", "B", "B", "B", "B", "B", "B", "Mo", "Mo", "Mo", "Mo"], "fractional_positions": [[0.128, 0.250, 0.055], [0.372, 0.750, 0.555], [0.628, 0.250, 0.445], [0.872, 0.750, 0.945], [0.031, 0.250, 0.826], [0.205, 0.250, 0.647], [0.295, 0.750, 0.147], [0.469, 0.750, 0.326], [0.531, 0.250, 0.674], [0.705, 0.250, 0.853], [0.795, 0.750, 0.353], [0.969, 0.750, 0.174], [0.131, 0.250, 0.359], [0.369, 0.750, 0.859], [0.631, 0.250, 0.141], [0.869, 0.750, 0.641]], "formation_enthalpy_0k_ev_per_atom": -0.25, "sg": "No. 62"}



[2]
{"formula": "CaNdAlAg", "functional": "PBE", "state": "optimized geometry", "lattice_angstrom": [[3.708, 0.000, 0.000], [0.000, 3.708, 0.000], [0.000, 0.000, 7.533]], "species": ["Ca", "Nd", "Al", "Ag"], "fractional_positions": [[0.000, 0.000, 0.000], [0.000, 0.000, 0.496], [0.500, 0.500, 0.256], [0.500, 0.500, 0.755]], "formation_enthalpy_0k_ev_per_atom": -0.28, "sg": "No. 99"}



[3]
{"formula": "NaHfGaB2", "functional": "PBE", "state": "optimized geometry", "lattice_angstrom": [[4.214, 0.000, 0.000], [0.000, 4.214, 0.000], [0.000, 0.000, 4.948]], "species": ["Na", "Hf", "Ga", "B", "B"], "fractional_positions": [[0.000, 0.000, 0.000], [0.500, 0.500, 0.000], [0.500, 0.500, 0.500], [0.000, 0.500, 0.500], [0.500, 0.000, 0.500]], "formation_enthalpy_0k_ev_per_atom": 1.46, "sg": "No. 123"}



[4]
{"formula": "NaFeCu2Te", "functional": "PBE", "state": "optimized geometry", "lattice_angstrom": [[4.917, 0.000, 0.000], [0.000, 4.917, 0.000], [0.000, 0.000, 5.784]], "species": ["Na", "Fe", "Cu", "Cu", "Te"], "fractional_positions": [[0.000, 0.000, 0.000], [0.500, 0.500, 0.000], [0.000, 0.500, 0.500], [0.500, 0.000, 0.500], [0.000, 0.000, 0.500]], "sg": "No. 123"}



[5]
{"formula": "Rb2Ac2SnS6", "functional": "PBE", "state": "optimized geometry", "lattice_angstrom": [[3.711, -6.303, 0.000], [3.711, 6.303, 0.000], [-2.396, 0.000, 7.927]], "species": ["Rb", "Rb", "Ac", "Ac", "Sn", "S", "S", "S", "S", "S", "S"], "fractional_positions": [[0.168, 0.832, 0.000], [0.832, 0.168, 0.000], [0.333, 0.667, 0.500], [0.667, 0.333, 0.500], [0.000, 0.000, 0.500], [0.061, 0.364, 0.691], [0.226, 0.226, 0.312], [0.364, 0.061, 0.691], [0.636, 0.939, 0.309], [0.774, 0.774, 0.688], [0.939, 0.636, 0.309]], "sg": "No. 12"}



[6]
{"formula": "HoU2CuS5", "functional": "PBE", "state": "optimized geometry", "lattice_angstrom": [[1.874, -8.072, 0.000], [1.874, 8.072, 0.000], [0.000, 0.000, 11.780]], "species": ["Ho", "Ho", "U", "U", "U", "U", "Cu", "Cu", "S", "S", "S", "S", "S", "S", "S", "S", "S", "S"], "fractional_positions": [[0.181, 0.819, 0.500], [0.819, 0.181, 0.000], [0.114, 0.886, 0.823], [0.118, 0.882, 0.165], [0.882, 0.118, 0.665], [0.886, 0.114, 0.323], [0.449, 0.551, 0.896], [0.551, 0.449, 0.396], [0.013, 0.987, 0.492], [0.302, 0.698, 0.165], [0.312, 0.688, 0.831], [0.347, 0.653, 0.494], [0.494, 0.506, 0.222], [0.506, 0.494, 0.722], [0.653, 0.347, 0.994], [0.688, 0.312, 0.331], [0.698, 0.302, 0.665], [0.987, 0.013, 0.992]], "sg": "No. 36"}



[7]
{"formula": "Pm2Nd2Mg", "functional": "PBE", "state": "optimized geometry", "lattice_angstrom": [[-2.247, 2.247, 8.836], [2.247, -2.247, 8.836], [2.247, 2.247, -8.836]], "species": ["Pm", "Pm", "Nd", "Nd", "Mg"], "fractional_positions": [[0.250, 0.750, 0.500], [0.750, 0.250, 0.500], [0.091, 0.091, 0.000], [0.909, 0.909, 0.000], [0.500, 0.500, 0.000]], "formation_enthalpy_0k_ev_per_atom": 0.37, "sg": "No. 139"}



[8]
{"formula": "CdSiPt2", "functional": "PBE", "state": "optimized geometry", "lattice_angstrom": [[3.032, 0.000, 0.000], [0.000, 2.975, 0.000], [-0.048, 0.000, 7.129]], "species": ["Cd", "Si", "Pt", "Pt"], "fractional_positions": [[0.000, 0.000, 0.000], [0.000, 0.000, 0.500], [0.496, 0.500, 0.699], [0.504, 0.500, 0.301]], "sg": "No. 10"}



[9]
{"formula": "B5C7", "functional": "PBE", "state": "optimized geometry", "lattice_angstrom": [[4.680, 0.000, 0.000], [0.000, 2.588, 0.000], [-0.831, 0.000, 6.463]], "species": ["B", "B", "B", "B", "B", "C", "C", "C", "C", "C", "C", "C"], "fractional_positions": [[0.000, 0.000, 0.000], [0.038, 0.000, 0.707], [0.292, 0.000, 0.270], [0.343, 0.000, 0.981], [0.521, 0.500, 0.692], [0.128, 0.500, 0.376], [0.176, 0.500, 0.598], [0.527, 0.500, 0.935], [0.655, 0.000, 0.363], [0.681, 0.000, 0.595], [0.806, 0.500, 0.287], [0.810, 0.500, 0.056]], "formation_enthalpy_0k_ev_per_atom": 0.33, "sg": "No. 6"}



[10]
{"formula": "TaCrAg2", "functional": "PBE", "state": "optimized geometry", "lattice_angstrom": [[1.625, -2.287, 0.000], [1.625, 2.287, 0.000], [0.000, 0.000, 8.965]], "species": ["Ta", "Cr", "Ag", "Ag"], "fractional_positions": [[0.000, 0.000, 0.000], [0.500, 0.500, 0.212], [0.000, 0.000, 0.461], [0.500, 0.500, 0.728]], "formation_enthalpy_0k_ev_per_atom": 0.31, "sg": "No. 35"}



[11]
{"formula": "ZrTe2Cl", "functional": "PBE", "state": "optimized geometry", "lattice_angstrom": [[-1.544, 2.411, 8.589], [1.544, -2.411, 8.589], [1.544, 2.411, -8.589]], "species": ["Zr", "Te", "Te", "Cl"], "fractional_positions": [[0.000, 0.000, 0.000], [0.149, 0.649, 0.500], [0.851, 0.351, 0.500], [0.500, 0.500, 0.000]], "sg": "No. 71"}



[12]
{"formula": "KBC", "functional": "PBE", "state": "optimized geometry", "lattice_angstrom": [[2.858, 0.000, 0.000], [0.000, 4.939, 0.000], [0.000, 0.000, 5.042]], "species": ["K", "K", "B", "B", "C", "C"], "fractional_positions": [[0.000, 0.000, 0.000], [0.500, 0.000, 0.500], [0.000, 0.500, 0.317], [0.000, 0.500, 0.683], [0.500, 0.500, 0.153], [0.500, 0.500, 0.847]], "formation_enthalpy_0k_ev_per_atom": 0.36, "sg": "No. 47"}



[13]
{"formula": "SnHg3Bi", "functional": "PBE", "state": "optimized geometry", "lattice_angstrom": [[5.589, 0.000, 0.000], [0.000, 5.589, 0.000], [0.000, 0.000, 5.589]], "species": ["Sn", "Hg", "Hg", "Hg", "Bi"], "fractional_positions": [[0.000, 0.000, 0.000], [0.000, 0.000, 0.500], [0.000, 0.500, 0.000], [0.500, 0.000, 0.000], [0.500, 0.500, 0.500]], "formation_enthalpy_0k_ev_per_atom": 0.41, "sg": "No. 221"}



[14]
{"formula": "LiIn2Re", "functional": "PBE", "state": "optimized geometry", "lattice_angstrom": [[1.750, -2.261, 0.000], [1.750, 2.261, 0.000], [0.000, 0.000, 9.801]], "species": ["Li", "In", "In", "Re"], "fractional_positions": [[0.000, 0.000, 0.000], [0.000, 0.000, 0.560], [0.500, 0.500, 0.254], [0.500, 0.500, 0.792]], "formation_enthalpy_0k_ev_per_atom": 0.45, "sg": "No. 35"}



[15]
{"formula": "Dy3Th5Bi8", "functional": "PBE", "state": "optimized geometry", "lattice_angstrom": [[4.557, 2.631, 7.426], [-4.557, 2.631, 7.426], [0.000, -5.262, 7.426]], "species": ["Dy", "Dy", "Dy", "Th", "Th", "Th", "Th", "Th", "Bi", "Bi", "Bi", "Bi", "Bi", "Bi", "Bi", "Bi"], "fractional_positions": [[0.000, 0.500, 0.500], [0.500, 0.000, 0.500], [0.500, 0.500, 0.000], [0.000, 0.000, 0.000], [0.000, 0.000, 0.500], [0.000, 0.500, 0.000], [0.500, 0.000, 0.000], [0.500, 0.500, 0.500], [0.250, 0.250, 0.743], [0.250, 0.743, 0.250], [0.253, 0.253, 0.253], [0.257, 0.750, 0.750], [0.743, 0.250, 0.250], [0.747, 0.747, 0.747], [0.750, 0.257, 0.750], [0.750, 0.750, 0.257]], "formation_enthalpy_0k_ev_per_atom": -0.67, "sg": "No. 166"}



[16]
{"formula": "SmInTeSe", "functional": "PBE", "state": "optimized geometry", "lattice_angstrom": [[2.170, 1.253, 8.157], [-2.170, 1.253, 8.157], [0.000, -2.505, 8.157]], "species": ["Sm", "In", "Te", "Se"], "fractional_positions": [[0.000, 0.000, 0.000], [0.172, 0.172, 0.172], [0.414, 0.414, 0.414], [0.606, 0.606, 0.606]], "sg": "No. 160"}



[17]
{"formula": "Al2CdBi2", "functional": "PBE", "state": "optimized geometry", "lattice_angstrom": [[-2.169, 2.169, 7.849], [2.169, -2.169, 7.849], [2.169, 2.169, -7.849]], "species": ["Al", "Al", "Cd", "Bi", "Bi"], "fractional_positions": [[0.250, 0.750, 0.500], [0.750, 0.250, 0.500], [0.000, 0.000, 0.000], [0.373, 0.373, 0.000], [0.627, 0.627, 0.000]], "formation_enthalpy_0k_ev_per_atom": 0.16, "sg": "No. 139"}



[18]
{"formula": "Li2PuSnSe4", "functional": "PBE", "state": "optimized geometry", "lattice_angstrom": [[6.849, 0.000, 0.000], [0.000, 4.087, 0.000], [-2.555, 0.000, 6.766]], "species": ["Li", "Li", "Pu", "Sn", "Se", "Se", "Se", "Se"], "fractional_positions": [[0.000, 0.000, 0.000], [0.000, 0.500, 0.500], [0.500, 0.000, 0.500], [0.500, 0.500, 0.000], [0.241, 0.000, 0.737], [0.246, 0.500, 0.250], [0.754, 0.500, 0.750], [0.759, 0.000, 0.263]], "sg": "No. 10"}



[19]
{"formula": "Pr2SbOF", "functional": "PBE", "state": "optimized geometry", "lattice_angstrom": [[-2.028, 2.028, 6.544], [2.028, -2.028, 6.544], [2.028, 2.028, -6.544]], "species": ["Pr", "Pr", "Sb", "O", "F"], "fractional_positions": [[0.146, 0.146, 0.000], [0.854, 0.854, 0.000], [0.500, 0.500, 0.000], [0.750, 0.250, 0.500], [0.250, 0.750, 0.500]], "sg": "No. 119"}



[20]
{"formula": "CsPmHgO3", "functional": "PBE", "state": "optimized geometry", "lattice_angstrom": [[8.254, 0.000, 0.000], [0.000, 3.682, 0.000], [-1.640, 0.000, 9.479]], "species": ["Cs", "Cs", "Pm", "Pm", "Hg", "Hg", "O", "O", "O", "O", "O", "O"], "fractional_positions": [[0.165, 0.250, 0.220], [0.835, 0.750, 0.780], [0.365, 0.750, 0.875], [0.635, 0.250, 0.125], [0.150, 0.250, 0.596], [0.850, 0.750, 0.404], [0.165, 0.750, 0.469], [0.186, 0.250, 0.836], [0.441, 0.750, 0.106], [0.559, 0.250, 0.894], [0.814, 0.750, 0.164], [0.835, 0.250, 0.531]], "sg": "No. 11"}



no.,DFT total energy (eV for the cell shown)
1,-115.62
2,-14.49
3,-20.33
4,-16.48
5,-54.40
6,-128.53
7,-18.79
8,-20.15
9,-93.94
10,-25.94
11,-19.19
12,-31.83
13,-6.76
14,-18.06
15,-92.66
16,-18.56
17,-15.36
18,-44.40
19,-33.60
20,-62.25